First-principles (PBE) data for crystalline Na4AgBi2 at its relaxed geometry, as listed in Alexandria via LeMat-Bulk.

Cell lengths 5.8346, 5.8346, 8.5905 Å; angles 70.15, 70.15, 90.00 degrees
Closest atoms and distances in Å follow each position.
Fractional positions:
Na: 0.1884 0.1884 0.6232  1 Ag 2.84
Na: 0.8116 0.8116 0.3768  1 Ag 2.84
Na: 0.0000 0.5000 0.0000  2 Ag 2.92
Na: 0.5000 0.0000 0.0000  2 Ag 2.92
Bi: 0.4005 0.4005 0.1990  1 Bi 3.00, 5 Na 3.20-3.28
Bi: 0.5995 0.5995 0.8010  1 Bi 3.00, 5 Na 3.20-3.28
Ag: 0.0000 0.0000 0.0000  6 Na 2.84-2.92

E_form = 0.02 eV per atom
Total DFT energy (no corrections) = -2.255 eV/atom
Total magnetization = 0.00 μB/f.u.
Volume = 257 Å³ per cell



First-principles (PBE) data for crystalline NaAg4Bi4 at its relaxed geometry, as listed in Alexandria via LeMat-Bulk.

Cell lengths 5.9204, 9.4143, 9.4143 Å; angles 90.00, 90.00, 90.00 degrees
Closest atoms and distances in Å follow each position.
Fractional positions:
Na: 0.0000 0.0000 0.0000  4 Bi 3.46, 4 Ag 3.67
Na: 0.5000 0.5000 0.5000  4 Bi 3.46, 4 Ag 3.67
Ag: 0.6205 0.8722 0.2809  1 Ag 2.83, 4 Bi 2.88-3.02
Ag: 0.6205 0.1278 0.7191  1 Ag 2.83, 4 Bi 2.88-3.02
Ag: 0.1205 0.7809 0.6278  1 Ag 2.83, 4 Bi 2.88-3.02
Ag: 0.8795 0.3722 0.7809  1 Ag 2.83, 4 Bi 2.88-3.02
Ag: 0.8795 0.6278 0.2191  1 Ag 2.83, 4 Bi 2.88-3.02
Ag: 0.3795 0.2809 0.1278  1 Ag 2.83, 4 Bi 2.88-3.02
Ag: 0.3795 0.7191 0.8722  1 Ag 2.83, 4 Bi 2.88-3.02
Ag: 0.1205 0.2191 0.3722  1 Ag 2.83, 4 Bi 2.88-3.02
Bi: 0.3780 0.3767 0.8373  4 Ag 2.88-3.02
Bi: 0.8780 0.6627 0.8767  4 Ag 2.88-3.02
Bi: 0.3780 0.6233 0.1627  4 Ag 2.88-3.02
Bi: 0.1220 0.1233 0.6627  4 Ag 2.88-3.02
Bi: 0.6220 0.8373 0.6233  4 Ag 2.88-3.02
Bi: 0.1220 0.8767 0.3373  4 Ag 2.88-3.02
Bi: 0.8780 0.3373 0.1233  4 Ag 2.88-3.02
Bi: 0.6220 0.1627 0.3767  4 Ag 2.88-3.02

E_form = 0.07 eV per atom
Total DFT energy (no corrections) = -3.064 eV/atom
Total magnetization = 0.00 μB/f.u.
Volume = 525 Å³ per cell



First-principles (PBE) data for crystalline NaAg3Bi at its relaxed geometry, as listed in Alexandria via LeMat-Bulk.

Cell lengths 4.9815, 4.9815, 4.9815 Å; angles 90.00, 90.00, 90.00 degrees
Closest atoms and distances in Å follow each position.
Fractional positions:
Na: 0.0000 0.0000 0.0000  6 Ag 2.49
Bi: 0.5000 0.5000 0.5000  12 Ag 3.52
Ag: 0.0000 0.5000 0.0000  2 Na 2.49
Ag: 0.0000 0.0000 0.5000  2 Na 2.49
Ag: 0.5000 0.0000 0.0000  2 Na 2.49

E_form = 0.63 eV per atom
Relative energy among the computed polymorphs = 626 meV/atom
Total DFT energy (no corrections) = -2.119 eV/atom
Total magnetization = 0.00 μB/f.u.
Volume = 124 Å³ per cell



First-principles (PBE) data for crystalline Na2Ag2Bi at its relaxed geometry, as listed in Alexandria via LeMat-Bulk.

Cell lengths 8.4015, 8.4015, 3.4208 Å; angles 90.00, 90.00, 90.00 degrees
Closest atoms and distances in Å follow each position.
Fractional positions:
Na: 0.3611 0.8611 0.0000  6 Ag 2.98-3.01, 2 Bi 3.25, 1 Na 3.30
Na: 0.8611 0.6389 0.0000  6 Ag 2.98-3.01, 2 Bi 3.25, 1 Na 3.30
Na: 0.6389 0.1389 0.0000  6 Ag 2.98-3.01, 2 Bi 3.25, 1 Na 3.30
Na: 0.1389 0.3611 0.0000  6 Ag 2.98-3.01, 2 Bi 3.25, 1 Na 3.30
Bi: 0.0000 0.0000 0.0000  4 Na 3.25, 2 Bi 3.42, 8 Ag 3.60
Bi: 0.5000 0.5000 0.0000  4 Na 3.25, 2 Bi 3.42, 8 Ag 3.60
Ag: 0.1561 0.6561 0.5000  6 Na 2.98-3.01
Ag: 0.6561 0.8439 0.5000  6 Na 2.98-3.01
Ag: 0.8439 0.3439 0.5000  6 Na 2.98-3.01
Ag: 0.3439 0.1561 0.5000  6 Na 2.98-3.01

E_form = 0.08 eV per atom
Relative energy among the computed polymorphs = 159 meV/atom
Total DFT energy (no corrections) = -2.361 eV/atom
Total magnetization = 0.00 μB/f.u.
Volume = 241 Å³ per cell



First-principles (PBE) data for crystalline NaAgBi2 at its relaxed geometry, as listed in Alexandria via LeMat-Bulk.

Cell lengths 9.1824, 9.1824, 7.1237 Å; angles 49.87, 49.87, 90.00 degrees
Closest atoms and distances in Å follow each position.
Fractional positions:
Na: 0.5000 0.5000 0.0000  2 Ag 2.93
Na: 0.2500 0.7500 0.5000  2 Ag 2.93
Bi: 0.7053 0.1250 0.2500  2 Ag 2.87
Bi: 0.0447 0.6250 0.2500  2 Ag 2.87
Bi: 0.3750 0.2947 0.7500  2 Ag 2.87
Bi: 0.8750 0.9553 0.7500  2 Ag 2.87
Ag: 0.0000 0.0000 0.0000  4 Bi 2.87, 2 Na 2.93
Ag: 0.7500 0.2500 0.5000  4 Bi 2.87, 2 Na 2.93

E_form = -0.01 eV per atom
Relative energy among the computed polymorphs = 86 meV/atom
Total DFT energy (no corrections) = -2.991 eV/atom
Total magnetization = 0.00 μB/f.u.
Volume = 247 Å³ per cell



First-principles (PBE) data for crystalline Na6AgBi2 at its relaxed geometry, as listed in Alexandria via LeMat-Bulk.

Cell lengths 5.4616, 5.4616, 10.9424 Å; angles 75.55, 75.55, 60.00 degrees
Closest atoms and distances in Å follow each position.
Fractional positions:
Na: 0.5816 0.5816 0.2553  3 Bi 3.16
Na: 0.8057 0.8057 0.5829  4 Bi 3.27-3.50, 7 Na 3.34-3.60
Na: 0.6995 0.6995 0.9014  3 Ag 3.32, 5 Na 3.34-3.71, 3 Bi 3.63
Na: 0.1943 0.1943 0.4171  4 Bi 3.27-3.50, 7 Na 3.34-3.60
Na: 0.4184 0.4184 0.7447  3 Bi 3.16
Na: 0.3005 0.3005 0.0986  3 Ag 3.32, 5 Na 3.34-3.71, 3 Bi 3.63
Ag: 0.0000 0.0000 0.0000  2 Bi 2.84
Bi: 0.9096 0.9096 0.2711  1 Ag 2.84, 3 Na 3.16
Bi: 0.0904 0.0904 0.7289  1 Ag 2.84, 3 Na 3.16

E_form = -0.27 eV per atom
Total DFT energy (no corrections) = -2.325 eV/atom
Total magnetization = 0.00 μB/f.u.
Volume = 271 Å³ per cell